# 1
CsNiSbCl6: optimized geometry, PBE. Values from VASP.

Quantum ESPRESSO input file:
```
&SYSTEM
  ibrav = 0, nat = 9, ntyp = 4
/
ATOMIC_SPECIES
Cl 35.45 Cl.upf
Ni 58.69 Ni.upf
Sb 121.76 Sb.upf
Cs 132.91 Cs.upf
CELL_PARAMETERS angstrom
6.697 0.000 0.000
3.349 5.800 0.000
0.000 0.000 7.792
ATOMIC_POSITIONS crystal
Cl 0.387 0.642 0.316
Cl 0.642 0.387 0.684
Ni 0.667 0.667 0.500
Cl 0.971 0.387 0.316
Sb 0.333 0.333 0.500
Cs 0.000 0.000 0.000
Cl 0.971 0.642 0.684
Cl 0.387 0.971 0.684
Cl 0.642 0.971 0.316
```

Its symmetry is P312, No. 149. The uncorrected formation energy is -1.027 eV/atom. The calculation puts the volume at 303 Å³/cell.

=====

# 2
La6Pm2SmDy: optimized geometry, PBE. Values from VASP.

Quantum ESPRESSO input file:
```
&SYSTEM
  ibrav = 0, nat = 10, ntyp = 4
/
ATOMIC_SPECIES
Pm 145.00 Pm.upf
Sm 150.36 Sm.upf
La 138.91 La.upf
Dy 162.50 Dy.upf
CELL_PARAMETERS angstrom
9.249 0.000 0.839
0.000 7.012 0.000
-2.238 -3.506 5.322
ATOMIC_POSITIONS crystal
Pm 0.170 0.074 0.147
Sm 0.500 0.000 0.000
Pm 0.830 0.926 0.853
La 0.804 0.964 0.394
Dy 0.000 0.500 0.000
La 0.579 0.372 0.745
La 0.804 0.430 0.394
La 0.421 0.628 0.255
La 0.196 0.570 0.606
La 0.196 0.036 0.606
```

Its symmetry is C2/m, No. 12. Its formation enthalpy at 0 K is 0.18 eV per atom. The calculation puts the volume at 358 Å³/cell.

=====

Number 1: DFT total energy -3.4531 eV/atom. Number 2: DFT total energy -4.6578 eV/atom.